[1]
DFT (PBE) results for a relaxed Rb2HoRu3O12 crystal.

Computed properties:
* space-group type: R-3m (166)
* energy relative to the elements, uncorrected: -23.17 eV per formula unit

abc: 7.5457 7.5457 7.5457
angles: 58.04 58.04 58.04
Fractional coordinates of all 18 atoms:
O 0.9237 0.3562 0.9237
O 0.9235 0.3049 0.3049
O 0.9237 0.9237 0.3562
O 0.3049 0.3049 0.9235
Ho 0.0000 0.0000 0.0000
Ru 0.0000 0.5000 0.0000
O 0.6951 0.0765 0.6951
Ru 0.0000 0.0000 0.5000
O 0.0765 0.6951 0.6951
O 0.6438 0.0763 0.0763
Rb 0.3835 0.3835 0.3835
O 0.6951 0.6951 0.0765
Ru 0.5000 0.0000 0.0000
O 0.3562 0.9237 0.9237
O 0.0763 0.6438 0.0763
Rb 0.6165 0.6165 0.6165
O 0.0763 0.0763 0.6438
O 0.3049 0.9235 0.3049

=====

[2]
DFT (PBE) results for a relaxed BeCr2Ni9 crystal.

Computed properties:
* VASP energy: -6.32 eV/atom
* space-group type: P4/mmm (123)

abc: 3.5118 3.5118 10.4877
angles: 90.00 90.00 90.00
Fractional coordinates of all 12 atoms:
Ni 0.5000 0.5000 0.6703
Ni 0.5000 0.0000 0.5000
Ni 0.5000 0.5000 0.0000
Ni 0.0000 0.5000 0.1601
Ni 0.0000 0.5000 0.8399
Cr 0.0000 0.0000 0.6734
Ni 0.5000 0.0000 0.8399
Ni 0.0000 0.5000 0.5000
Ni 0.5000 0.5000 0.3297
Be 0.0000 0.0000 0.0000
Ni 0.5000 0.0000 0.1601
Cr 0.0000 0.0000 0.3266

=====

[3]
DFT (PBE) results for a relaxed BaBBr crystal.

Computed properties:
* space-group type: C2/m (12)
* energy relative to the elements, uncorrected: -1.67 eV per formula unit

abc: 4.7351 4.0261 12.8616
angles: 102.77 90.00 126.02
Fractional coordinates of all 6 atoms:
B 0.3757 0.7515 0.9996
B 0.6243 0.2485 0.0004
Ba 0.8993 0.7986 0.8252
Ba 0.1007 0.2014 0.1748
Br 0.7934 0.5868 0.3326
Br 0.2066 0.4132 0.6674

=====

[4]
DFT (PBE) results for a relaxed Ce6RuPt5 crystal.

Computed properties:
* VASP energy: -7.18 eV/atom
* space-group type: C2/m (12)

abc: 7.1027 7.1108 7.0977
angles: 59.94 80.42 70.59
Fractional coordinates of all 12 atoms:
Ce 0.2482 0.2406 0.0000
Ce 0.2430 0.9193 0.6767
Pt 0.5000 0.1725 0.6549
Ce 0.2430 0.5960 0.3233
Pt 0.5000 0.8275 0.3451
Ce 0.7518 0.7594 0.0000
Ru 0.0000 0.0000 0.0000
Ce 0.7570 0.0807 0.3233
Pt 0.0000 0.6656 0.6689
Pt 0.0000 0.3344 0.3311
Ce 0.7570 0.4040 0.6767
Pt 0.5000 0.5000 0.0000